[1]
First-principles (GGA-PBE) data for an optimized crystal structure of Nb3TcS, as listed in Alexandria.

Cell lengths 4.5278, 4.5278, 4.5278 Å; angles 90.00, 90.00, 90.00 degrees
Fractional positions:
S1 0.0000 0.0000 0.0000
Nb1 0.0000 0.5000 0.0000
Tc1 0.5000 0.5000 0.5000
Nb2 0.5000 0.0000 0.0000
Nb3 0.0000 0.0000 0.5000

The crystal system is cubic. The calculation puts the offset from the most stable computed form at 0.000 eV/atom. The value obtained for the total energy is -8.58 eV per atom. The density of states at the Fermi level comes out at 1.347 states/eV/atom. The calculation puts the density at 7.31 g/cm3.

[2]
First-principles (GGA-PBE) data for an optimized crystal structure of NbTlTcS3, as listed in Alexandria.

Cell lengths 3.4487, 8.1849, 10.2526 Å; angles 115.01, 90.00, 90.00 degrees
Fractional positions:
Tl1 0.2500 0.2813 0.2730
Nb1 0.7500 0.3020 0.8321
S1 0.2500 0.0902 0.8452
S2 0.7500 0.9098 0.1548
S3 0.2500 0.7547 0.4305
Tc1 0.7500 0.9176 0.3890
Tl2 0.7500 0.7187 0.7270
Tc2 0.2500 0.0824 0.6110
S4 0.2500 0.5570 0.8875
S5 0.7500 0.2453 0.5695
S6 0.7500 0.4430 0.1125
Nb2 0.2500 0.6980 0.1679

The crystal system is monoclinic. The value obtained for the total energy is -6.55 eV per atom. The density of states at the Fermi level comes out at 0.383 states/eV/atom. The calculation puts the density at 6.22 g/cm3.

[3]
First-principles (GGA-PBE) data for an optimized crystal structure of NbTc2WS, as listed in Alexandria.

Cell lengths 4.3218, 4.4420, 4.3218 Å; angles 90.00, 90.00, 90.00 degrees
Fractional positions:
S1 0.0000 0.0000 0.0000
Tc1 0.0000 0.0000 0.5000
Nb1 0.5000 0.5000 0.5000
Tc2 0.5000 0.0000 0.0000
W1 0.0000 0.5000 0.0000

The crystal system is tetragonal. The value obtained for the total energy is -9.15 eV per atom. The density of states at the Fermi level comes out at 0.561 states/eV/atom. The calculation puts the density at 10.10 g/cm3.

Repeat the third record exactly.
First-principles (GGA-PBE) data for an optimized crystal structure of NbTc2WS, as listed in Alexandria.

Cell lengths 4.3218, 4.4420, 4.3218 Å; angles 90.00, 90.00, 90.00 degrees
Fractional positions:
S1 0.0000 0.0000 0.0000
Tc1 0.0000 0.0000 0.5000
Nb1 0.5000 0.5000 0.5000
Tc2 0.5000 0.0000 0.0000
W1 0.0000 0.5000 0.0000

The crystal system is tetragonal. The value obtained for the total energy is -9.15 eV per atom. The density of states at the Fermi level comes out at 0.561 states/eV/atom. The calculation puts the density at 10.10 g/cm3.